[1]
{
  "formula": "HfTi2Ni",
  "functional": "PBE",
  "state": "relaxed",
  "lattice": [[3.013, 0.000, 0.000], [-1.507, 2.609, 0.000], [0.000, 0.000, 26.154]],
  "species": ["Hf", "Hf", "Hf", "Ti", "Ti", "Ti", "Ti", "Ti", "Ti", "Ni", "Ni", "Ni"],
  "frac_coords": [[0.000, 0.000, 0.000], [0.333, 0.667, 0.667], [0.667, 0.333, 0.333], [0.000, 0.000, 0.239], [0.000, 0.000, 0.427], [0.333, 0.667, 0.093], [0.333, 0.667, 0.906], [0.667, 0.333, 0.573], [0.667, 0.333, 0.760], [0.000, 0.000, 0.833], [0.333, 0.667, 0.499], [0.667, 0.333, 0.166]],
  "n_ef_per_ev_cell": 16.6,
  "energy_ev_per_cell": -94.1,
  "relative_energy_mev_per_atom": 219,
  "volume_a3_per_atom": 17.1,
  "formation_enthalpy_0k_ev_per_atom": 0.0359
}

[2]
{
  "formula": "LaGa3Cu",
  "functional": "PBE",
  "state": "relaxed",
  "lattice": [[4.738, 0.000, 0.000], [0.000, 4.738, 0.000], [0.000, 0.000, 4.738]],
  "species": ["La", "Ga", "Ga", "Ga", "Cu"],
  "frac_coords": [[0.000, 0.000, 0.000], [0.000, 0.500, 0.500], [0.500, 0.000, 0.500], [0.500, 0.500, 0.000], [0.500, 0.500, 0.500]],
  "n_ef_per_ev_cell": 2.5,
  "energy_ev_per_cell": -19.3,
  "relative_energy_mev_per_atom": 315,
  "volume_a3_per_atom": 21.3,
  "formation_enthalpy_0k_ev_per_atom": -0.2426
}

[3]
{
  "formula": "LaZn3PdPt",
  "functional": "PBE",
  "state": "relaxed",
  "lattice": [[4.014, -5.641, 0.000], [4.014, 5.641, 0.000], [0.000, 0.000, 5.589]],
  "species": ["La", "La", "Zn", "Zn", "Zn", "Zn", "Zn", "Zn", "Pd", "Pd", "Pt", "Pt"],
  "frac_coords": [[0.204, 0.796, 0.750], [0.796, 0.204, 0.250], [0.240, 0.240, 0.000], [0.240, 0.240, 0.500], [0.323, 0.677, 0.250], [0.677, 0.323, 0.750], [0.760, 0.760, 0.000], [0.760, 0.760, 0.500], [0.093, 0.907, 0.250], [0.907, 0.093, 0.750], [0.452, 0.548, 0.750], [0.548, 0.452, 0.250]],
  "n_ef_per_ev_cell": 5.9,
  "energy_ev_per_cell": -45.4,
  "volume_a3_per_atom": 21.1,
  "formation_enthalpy_0k_ev_per_atom": -0.4523
}

[4]
{
  "formula": "RePPb2",
  "functional": "PBE",
  "state": "relaxed",
  "lattice": [[3.585, 0.000, 0.000], [0.000, 3.561, 0.000], [-0.962, 0.000, 6.592]],
  "species": ["Re", "P", "Pb", "Pb"],
  "frac_coords": [[0.000, 0.000, 0.000], [0.000, 0.000, 0.500], [0.455, 0.500, 0.760], [0.545, 0.500, 0.240]],
  "n_ef_per_ev_cell": 3.5,
  "energy_ev_per_cell": -21.3,
  "volume_a3_per_atom": 21.0,
  "formation_enthalpy_0k_ev_per_atom": 0.9953
}